1.
Below is NdYTeS after structural relaxation, with properties calculated at the PBE level.

## Properties
Energy relative to the elements, uncorrected, eV/atom: -1.734
Total magnetic moment, μB/cell: 0.00
Raw total energy, Ry per atom: -0.4674

Cell: 4.106 4.106 7.623 Å, 90.00 105.63 120.00°
Fractional coordinates of all 4 atoms:
Te 0.478 0.137 0.629
Nd 0.944 0.370 0.328
S 0.126 0.961 0.101
Y 0.331 0.564 0.910

***

2.
Below is MgOs after structural relaxation, with properties calculated at the PBE level.

## Properties
Formation enthalpy at 0 K, eV per atom: 0.623
Total magnetic moment, μB/cell: 0.00
Raw total energy, Ry per atom: -0.4255

Cell: 3.523 3.523 6.779 Å, 90.00 90.00 90.00°
Fractional coordinates of all 4 atoms:
Os 0.750 0.250 0.000
Os 0.250 0.750 0.000
Mg 0.750 0.750 0.666
Mg 0.250 0.250 0.334

***

3.
Below is Ac4MgSn after structural relaxation, with properties calculated at the PBE level.

## Properties
Formation enthalpy at 0 K, eV per atom: -0.037
Total magnetic moment, μB/cell: 0.02
Raw total energy, Ry per atom: -0.2726

Cell: 5.658 5.659 8.027 Å, 89.99 89.99 90.00°
Fractional coordinates of all 6 atoms:
Ac 0.501 0.997 0.746
Ac 0.001 0.497 0.746
Ac 0.001 0.497 0.250
Ac 0.501 0.997 0.250
Sn 0.001 0.997 0.498
Mg 0.501 0.497 0.998

***

4.
Below is PmHo12Co6 after structural relaxation, with properties calculated at the PBE level.

## Properties
Formation enthalpy at 0 K, eV per atom: -0.145
Total magnetic moment, μB/cell: 0.00
Raw total energy, Ry per atom: -0.4065

Cell: 8.425 8.425 8.425 Å, 109.47 109.47 109.47°
Fractional coordinates of all 19 atoms:
Ho 0.497 0.806 0.691
Ho 0.885 0.194 0.691
Ho 0.806 0.309 0.115
Ho 0.691 0.497 0.806
Ho 0.115 0.806 0.309
Ho 0.503 0.194 0.309
Ho 0.194 0.691 0.885
Ho 0.309 0.503 0.194
Ho 0.194 0.309 0.503
Ho 0.309 0.115 0.806
Ho 0.691 0.885 0.194
Ho 0.806 0.691 0.497
Co 0.500 0.114 0.614
Co 0.886 0.386 0.500
Co 0.114 0.614 0.500
Co 0.386 0.500 0.886
Co 0.614 0.500 0.114
Co 0.500 0.886 0.386
Pm 0.000 0.000 0.000

***

5.
Below is TiSnIrPd after structural relaxation, with properties calculated at the PBE level.

## Properties
Formation enthalpy at 0 K, eV per atom: -0.550
Total magnetic moment, μB/cell: 0.60
Raw total energy, Ry per atom: -0.5173

Cell: 4.207 4.207 4.758 Å, 116.24 116.24 90.00°
Last column: magnetic moment on the atom in μB.
Fractional coordinates of all 4 atoms:
Pd 0.250 0.750 0.500  0.12
Ir 0.750 0.250 0.500  0.12
Sn 0.500 0.500 0.000  0.03
Ti 0.000 0.000 0.000  0.27

***

6.
Below is Rb2Tb2ZrSe6 after structural relaxation, with properties calculated at the PBE level.

## Properties
Energy relative to the elements, uncorrected, eV/atom: -1.643
Total magnetic moment, μB/cell: 0.00
Raw total energy, Ry per atom: -0.3924

Cell: 7.091 7.091 8.554 Å, 98.24 98.24 119.66°
Fractional coordinates of all 11 atoms:
Se 0.383 0.067 0.691
Se 0.617 0.933 0.309
Se 0.933 0.617 0.309
Se 0.748 0.748 0.690
Se 0.252 0.252 0.310
Se 0.067 0.383 0.691
Rb 0.830 0.170 0.000
Rb 0.170 0.830 0.000
Tb 0.333 0.667 0.500
Tb 0.667 0.333 0.500
Zr 0.000 0.000 0.500

***

Look up the total magnetic moment of the fourth one.
0.00 μB/cell

***

Which of these has the highest total magnetic moment?
TiSnIrPd